Pm5H2Pb2: optimized geometry, PBE.

Calculated values
density of states at the Fermi level	8.4	states/eV per cell
spin magnetization	0.0	μB per formula unit
ρ	8.20	g/cm³
crystal system	tetragonal
final energy	-4.619	eV per atom

Cell: 4.9864 4.9864 9.2989 Å, 90.00 90.00 90.00°
With the nearest neighbours (Å) after each atom.
Space group P4/mmm (No. 123)
Asymmetric unit:
Pm 0.0000 0.0000 0.0000  2 H 2.31
Pm 0.0000 0.5000 0.2727  2 H 2.50
H 0.0000 0.0000 0.2488  5 Pm 2.31-2.50
Pb 0.5000 0.5000 0.0000  12 Pm 3.53-3.56
Pb 0.5000 0.5000 0.5000  8 Pm 3.27